(1)
A geometry-optimized Ca2TcMoO6 structure. Source: Alexandria, functional PBE+U.

```
Ca2TcMoO6
1.0
-2.758 -1.858 -2.393
1.915 -5.000 1.676
-3.681 0.009 4.234
Tc Mo O Ca
1 1 6 2
direct
0.653 0.000 0.000 Tc
0.650 0.500 0.500 Mo
0.670 0.751 0.249 O
0.152 0.500 0.500 O
0.670 0.249 0.249 O
0.670 0.249 0.751 O
0.158 0.000 0.000 O
0.670 0.751 0.751 O
0.078 0.500 0.000 Ca
0.078 0.000 0.500 Ca
```

Results
Final energy: -7.168 eV/atom


(2)
A geometry-optimized CaTeMoO6 structure. Source: Alexandria, functional PBE+U.

```
CaTeMoO6
1.0
-1.832 -0.690 4.987
-3.364 -0.316 -4.158
1.794 -9.852 -0.703
O Te Mo Ca
12 2 2 2
direct
0.641 0.014 0.358 O
0.014 0.641 0.858 O
0.373 0.359 0.358 O
0.627 0.641 0.642 O
0.986 0.627 0.358 O
0.641 0.627 0.142 O
0.627 0.986 0.858 O
0.359 0.373 0.858 O
0.373 0.014 0.142 O
0.014 0.373 0.642 O
0.986 0.359 0.142 O
0.359 0.986 0.642 O
0.667 0.333 0.250 Te
0.333 0.667 0.750 Te
0.333 0.667 0.250 Mo
0.667 0.333 0.750 Mo
0.000 0.000 0.000 Ca
0.000 0.000 0.500 Ca
```

Results
Final energy: -6.407 eV/atom


(3)
A geometry-optimized Ca2TiMoO6 structure. Source: Alexandria, functional PBE+U.

```
Ca2TiMoO6
1.0
3.985 0.000 0.000
0.000 5.646 0.000
0.000 0.000 5.646
Mo O Ca Ti
1 6 2 1
direct
0.653 0.500 0.500 Mo
0.686 0.244 0.756 O
0.686 0.244 0.244 O
0.686 0.756 0.244 O
0.686 0.756 0.756 O
0.169 0.000 0.000 O
0.159 0.500 0.500 O
0.049 0.000 0.500 Ca
0.049 0.500 0.000 Ca
0.622 0.000 0.000 Ti
```

Results
Final energy: -7.493 eV/atom